Computed, not measured: a relaxed Pu2CoNi3Ge4 crystal at the PBE-GGA level of DFT.

Calculated values
**Uncorrected energy**: -7.633 eV/atom
**Space-group type**: No. 115
**N(E_F)**: 25.58 states/eV per cell

abc: 4.0947 4.0947 9.7064
angles: 90.00 90.00 90.00
Last column: nearest neighbours and their distance in Å.
Fractional positions:
Ge 0.0000 0.5000 0.3707  3 Ni 2.36-2.40, 2 Co 2.40
Ni 0.0000 0.0000 0.5000  4 Ge 2.40
Ni 0.0000 0.5000 0.1277  5 Ge 2.36-2.39
Pu 0.0000 0.5000 0.7492  8 Ge 3.12-3.18, 6 Ni 3.13-3.17, 2 Co 3.17
Ni 0.5000 0.0000 0.8723  5 Ge 2.36-2.39
Ge 0.5000 0.5000 0.0000  4 Ni 2.39
Ge 0.0000 0.0000 0.0000  4 Ni 2.39
Pu 0.5000 0.0000 0.2508  8 Ge 3.12-3.18, 6 Ni 3.13-3.17, 2 Co 3.17
Co 0.5000 0.5000 0.5000  4 Ge 2.40
Ge 0.5000 0.0000 0.6293  3 Ni 2.36-2.40, 2 Co 2.40

Computed, not measured: a relaxed Sr2LiI crystal at the PBE-GGA level of DFT.

Calculated values
**E above lowest polymorph**: 150 meV/atom
**Space-group type**: No. 122
**N(E_F)**: 3.09 states/eV per cell
**Formation energy from raw total energies**: -0.3710 eV per atom

abc: 9.1014 9.1014 7.7326
angles: 53.95 53.95 90.00
Last column: nearest neighbours and their distance in Å.
Fractional positions:
Sr 0.6263 0.1250 0.2500  2 I 3.38, 2 Li 3.40
I 0.7500 0.2500 0.5000  4 Sr 3.38
Sr 0.8750 0.8763 0.7500  2 I 3.38, 2 Li 3.40
Li 0.2500 0.7500 0.5000  4 Sr 3.40
Sr 0.1237 0.6250 0.2500  2 I 3.38, 2 Li 3.40
I 0.0000 0.0000 0.0000  4 Sr 3.38
Li 0.5000 0.5000 0.0000  4 Sr 3.40
Sr 0.3750 0.3737 0.7500  2 I 3.38, 2 Li 3.40

Among the records above, which one has the lowest N(E_F)? Sr2LiI

Among the records above, which one has the highest N(E_F)? Pu2CoNi3Ge4

Among the records above, which one has the lowest N(E_F)? Sr2LiI